# TaFe2Pb3O9 | Alexandria via LeMat-Bulk | PBE+U | optimized geometry
# E   -6.8269 eV per atom
data_TaFe2Pb3O9
_symmetry_space_group_name_H-M 'P 1'
_symmetry_Int_Tables_number 1
_symmetry_space_group_name_Hall 'P 1'
_cell_length_a 5.6615
_cell_length_b 5.6615
_cell_length_c 6.9708
_cell_angle_alpha 90.00
_cell_angle_beta 90.00
_cell_angle_gamma 120.00
loop_
_atom_site_label
_atom_site_type_symbol
_atom_site_fract_x
_atom_site_fract_y
_atom_site_fract_z
Ta1 Ta 0.0000 0.0000 0.5000
Fe1 Fe 0.3333 0.6667 0.1715
Fe2 Fe 0.6667 0.3333 0.8285
Pb1 Pb 0.3333 0.6667 0.7000
Pb2 Pb 0.0000 0.0000 0.0000
Pb3 Pb 0.6667 0.3333 0.3000
O1 O 0.8349 0.1651 0.6681
O2 O 0.8349 0.6699 0.6681
O3 O 0.3301 0.1651 0.6681
O4 O 0.6699 0.8349 0.3319
O5 O 0.1651 0.3301 0.3319
O6 O 0.1651 0.8349 0.3319
O7 O 0.5000 0.0000 0.0000
O8 O 0.0000 0.5000 0.0000
O9 O 0.5000 0.5000 0.0000